No. 1
Cd2SbP (GGA-PBEsol, relaxed); uncorrected energy = -3.003 eV per atom; D(E_F) = 3.216 states/eV per cell; uncorrected formation energy = 182 meV per atom; space group = Imm2; calculated volume = 22.113 Å³/atom
1.0
3.6123 0.0000 0.0000
0.0000 4.4898 0.0000
0.0000 0.0000 10.9075
Cd Sb P
4 2 2
Cartesian
0.0000 0.0000 0.0000
0.0000 2.2449 2.0191
1.8061 0.0000 7.4728
1.8061 2.2449 5.4537
0.0000 0.0000 4.3657
1.8061 2.2449 9.8194
0.0000 2.2449 7.8196
1.8061 0.0000 2.3659



No. 2
CdSb2P (GGA-PBEsol, relaxed); uncorrected energy = -3.668 eV per atom; D(E_F) = 2.416 states/eV per cell; uncorrected formation energy = 357 meV per atom; space group = Pmmm; calculated volume = 22.659 Å³/atom
1.0
3.8053 0.0000 0.0000
0.0000 4.4247 0.0000
0.0000 0.0000 5.3832
Cd Sb P
1 2 1
Cartesian
0.0000 0.0000 0.0000
0.0000 2.2123 2.6916
1.9026 2.2123 0.0000
1.9026 0.0000 2.6916



No. 3
Cd2SbP (GGA-PBEsol, relaxed); uncorrected energy = -3.047 eV per atom; D(E_F) = 5.609 states/eV per cell; uncorrected formation energy = 138 meV per atom; space group = R-3m; calculated volume = 22.417 Å³/atom
1.0
3.8477 0.0000 0.0000
-1.9238 3.3322 0.0000
0.0000 0.0000 20.9812
Cd Sb P
6 3 3
Cartesian
0.0000 0.0000 4.9677
0.0000 0.0000 16.0135
0.0000 2.2214 9.0198
0.0000 2.2214 18.9552
1.9238 1.1107 2.0261
1.9238 1.1107 11.9614
0.0000 0.0000 0.0000
0.0000 2.2214 13.9875
1.9238 1.1107 6.9937
0.0000 0.0000 10.4906
0.0000 2.2214 3.4969
1.9238 1.1107 17.4843



No. 4
CdSbP2 (GGA-PBEsol, relaxed); uncorrected energy = -4.102 eV per atom; D(E_F) = 11.938 states/eV per cell; uncorrected formation energy = 232 meV per atom; space group = I-42d; calculated volume = 26.496 Å³/atom
1.0
5.8666 0.0000 0.0000
0.0000 5.8666 0.0000
0.0000 0.0000 12.3175
Cd Sb P
4 4 8
Cartesian
0.0000 0.0000 0.0000
0.0000 2.9333 3.0794
2.9333 0.0000 9.2381
2.9333 2.9333 6.1588
0.0000 0.0000 6.1588
0.0000 2.9333 9.2381
2.9333 0.0000 3.0794
2.9333 2.9333 0.0000
1.4433 1.4666 1.5397
1.4666 4.3766 4.6191
1.4666 4.4232 10.7778
1.4900 1.4666 7.6985
4.3766 4.3999 7.6985
4.3999 1.4433 10.7778
4.3999 1.4900 4.6191
4.4232 4.3999 1.5397